# 1
Below is Ir2S after structural relaxation, with properties calculated at the PBE-GGA level.

Cell: 5.205 5.205 3.620 Å, 90.00 90.00 90.00°
Fractional coordinates of all 6 atoms:
Ir: 0.193 0.193 0.000
Ir: 0.307 0.693 0.500
Ir: 0.693 0.307 0.500
Ir: 0.807 0.807 0.000
S: 0.000 0.000 0.500
S: 0.500 0.500 0.000

Its space-group type is P4_2/mnm. For the total energy, the calculation gives -39.4 eV for the cell shown. Its crystal system is tetragonal.



# 2
Below is Ir2S after structural relaxation, with properties calculated at the PBE-GGA level.

Cell: 7.058 7.058 7.058 Å, 60.00 60.00 60.00°
Fractional coordinates of all 6 atoms:
Ir: 0.000 0.000 0.000
Ir: 0.000 0.000 0.500
Ir: 0.000 0.500 0.000
Ir: 0.500 0.000 0.000
S: 0.125 0.125 0.125
S: 0.875 0.875 0.875

Its space-group type is Fd-3m. For the total energy, the calculation gives -32.5 eV for the cell shown. Its crystal system is cubic.



# 3
Below is Ir2S after structural relaxation, with properties calculated at the PBE-GGA level.

Cell: 3.988 3.988 3.988 Å, 60.00 60.00 60.00°
Fractional coordinates of all 3 atoms:
Ir: 0.250 0.250 0.250
Ir: 0.750 0.750 0.750
S: 0.000 0.000 0.000

Its space-group type is Fm-3m. For the total energy, the calculation gives -20.6 eV for the cell shown. Its crystal system is cubic.



# 4
Below is IrS after structural relaxation, with properties calculated at the PBE-GGA level.

Cell: 3.495 3.495 3.495 Å, 60.00 60.00 60.00°
Fractional coordinates of all 2 atoms:
Ir: 0.000 0.000 0.000
S: 0.500 0.500 0.500

Its space-group type is Fm-3m. For the total energy, the calculation gives -12.1 eV for the cell shown. Its crystal system is cubic.



# 5
Below is Ir2S after structural relaxation, with properties calculated at the PBE-GGA level.

Cell: 5.214 5.214 5.214 Å, 60.00 60.00 60.00°
Fractional coordinates of all 6 atoms:
Ir: 0.000 0.000 0.000
Ir: 0.000 0.000 0.500
Ir: 0.000 0.500 0.000
Ir: 0.500 0.000 0.000
S: 0.375 0.375 0.375
S: 0.625 0.625 0.625

Its space-group type is Fd-3m. For the total energy, the calculation gives -35.9 eV for the cell shown. Its crystal system is cubic.



# 6
Below is Ir3S8 after structural relaxation, with properties calculated at the PBE-GGA level.

Cell: 5.699 5.699 5.699 Å, 89.50 89.50 89.50°
Fractional coordinates of all 11 atoms:
Ir: 0.000 0.500 0.500
Ir: 0.500 0.000 0.500
Ir: 0.500 0.500 0.000
S: 0.110 0.393 0.889
S: 0.111 0.890 0.607
S: 0.373 0.373 0.373
S: 0.393 0.889 0.110
S: 0.607 0.111 0.890
S: 0.627 0.627 0.627
S: 0.889 0.110 0.393
S: 0.890 0.607 0.111

Its space-group type is R-3. For the total energy, the calculation gives -63.1 eV for the cell shown. Its crystal system is trigonal.



# 7
Below is Ir2Se3S after structural relaxation, with properties calculated at the PBE-GGA level.

Cell: 10.735 10.735 5.810 Å, 90.28 90.28 18.83°
Fractional coordinates of all 6 atoms:
Ir: 0.000 0.000 0.000
Ir: 0.506 0.506 0.413
Se: 0.061 0.061 0.627
Se: 0.417 0.417 0.085
Se: 0.927 0.927 0.645
S: 0.569 0.569 0.096

Its space-group type is Cm. For the total energy, the calculation gives -32.3 eV for the cell shown. Its crystal system is monoclinic.



# 8
Below is Ir2Se2S after structural relaxation, with properties calculated at the PBE-GGA level.

Cell: 11.888 11.888 11.888 Å, 160.75 160.75 27.36°
Fractional coordinates of all 10 atoms:
Ir: 0.000 0.500 0.500
Ir: 0.178 0.178 0.000
Ir: 0.500 0.000 0.500
Ir: 0.822 0.822 0.000
Se: 0.068 0.068 0.000
Se: 0.250 0.750 0.500
Se: 0.750 0.250 0.500
Se: 0.932 0.932 0.000
S: 0.349 0.349 0.000
S: 0.651 0.651 0.000

Its space-group type is I4/mmm. For the total energy, the calculation gives -52.9 eV for the cell shown. Its crystal system is tetragonal.



# 9
Below is Ir2Se3S after structural relaxation, with properties calculated at the PBE-GGA level.

Cell: 5.806 3.522 11.037 Å, 90.00 105.13 90.00°
Fractional coordinates of all 6 atoms:
Ir: 0.000 0.000 0.000
Ir: 0.405 0.500 0.988
Se: 0.242 0.000 0.825
Se: 0.688 0.500 0.844
Se: 0.840 0.500 0.110
S: 0.380 0.000 0.126

Its space-group type is Pm. For the total energy, the calculation gives -32.3 eV for the cell shown. Its crystal system is monoclinic.



# 10
Below is IrSeS after structural relaxation, with properties calculated at the PBE-GGA level.

Cell: 3.490 10.882 10.882 Å, 149.10 90.00 90.00°
Fractional coordinates of all 6 atoms:
Ir: 0.000 0.000 0.000
Ir: 0.500 0.409 0.409
Se: 0.500 0.712 0.846
Se: 0.500 0.846 0.712
S: 0.000 0.244 0.389
S: 0.000 0.389 0.244

Its space-group type is Amm2. For the total energy, the calculation gives -32.8 eV for the cell shown. Its crystal system is orthorhombic.



# 11
Below is IrSeS after structural relaxation, with properties calculated at the PBE-GGA level.

Cell: 10.635 10.635 5.797 Å, 90.00 90.00 161.10°
Fractional coordinates of all 6 atoms:
Ir: 0.000 0.000 0.000
Ir: 0.500 0.500 0.410
Se: 0.067 0.933 0.631
Se: 0.933 0.067 0.631
S: 0.428 0.572 0.093
S: 0.572 0.428 0.093

Its space-group type is Cmm2. For the total energy, the calculation gives -32.8 eV for the cell shown. Its crystal system is orthorhombic.



# 12
Below is ZnIr2SeS3 after structural relaxation, with properties calculated at the PBE-GGA level.

Cell: 5.014 5.703 6.123 Å, 115.74 113.50 92.11°
Fractional coordinates of all 7 atoms:
Zn: 0.000 0.000 0.000
Ir: 0.427 0.501 0.972
Ir: 0.804 0.287 0.574
Se: 0.867 0.411 0.264
S: 0.148 0.060 0.702
S: 0.409 0.903 0.275
S: 0.577 0.615 0.727

Its space-group type is P1. For the total energy, the calculation gives -35.6 eV for the cell shown. Its crystal system is triclinic.



# 13
Below is ZnIr2Se3S after structural relaxation, with properties calculated at the PBE-GGA level.

Cell: 5.187 5.873 6.191 Å, 115.61 114.77 91.21°
Fractional coordinates of all 7 atoms:
Zn: 0.000 0.000 0.000
Ir: 0.427 0.471 0.957
Ir: 0.815 0.284 0.574
Se: 0.413 0.882 0.281
Se: 0.561 0.615 0.705
Se: 0.858 0.390 0.256
S: 0.143 0.056 0.704

Its space-group type is P1. For the total energy, the calculation gives -34.1 eV for the cell shown. Its crystal system is triclinic.



# 14
Below is Sn4IrS3 after structural relaxation, with properties calculated at the PBE-GGA level.

Cell: 3.896 3.858 12.283 Å, 90.00 98.32 90.00°
Fractional coordinates of all 8 atoms:
Sn: 0.000 0.000 0.000
Sn: 0.158 0.000 0.437
Sn: 0.334 0.500 0.726
Sn: 0.577 0.500 0.235
Ir: 0.069 0.000 0.220
S: 0.434 0.500 0.949
S: 0.683 0.500 0.488
S: 0.848 0.000 0.784

Its space-group type is Pm. For the total energy, the calculation gives -39.5 eV for the cell shown. Its crystal system is monoclinic.



# 15
Below is Sn4Ir3S after structural relaxation, with properties calculated at the PBE-GGA level.

Cell: 3.571 4.231 10.191 Å, 90.00 90.05 90.00°
Fractional coordinates of all 8 atoms:
Sn: 0.000 0.000 0.000
Sn: 0.006 0.500 0.242
Sn: 0.013 0.500 0.759
Sn: 0.536 0.000 0.501
Ir: 0.485 0.500 0.000
Ir: 0.513 0.000 0.212
Ir: 0.519 0.000 0.789
S: 0.045 0.500 0.500

Its space-group type is Pm. For the total energy, the calculation gives -47.5 eV for the cell shown. Its crystal system is monoclinic.



# 16
Below is Sn2IrS after structural relaxation, with properties calculated at the PBE-GGA level.

Cell: 3.677 3.969 11.758 Å, 90.00 97.49 90.00°
Fractional coordinates of all 8 atoms:
Sn: 0.030 0.250 0.118
Sn: 0.404 0.250 0.679
Sn: 0.596 0.750 0.321
Sn: 0.970 0.750 0.882
Ir: 0.487 0.250 0.910
Ir: 0.513 0.750 0.090
S: 0.128 0.250 0.378
S: 0.872 0.750 0.622

Its space-group type is P2_1/m. For the total energy, the calculation gives -43.6 eV for the cell shown. Its crystal system is monoclinic.



# 17
Below is Sn2IrS after structural relaxation, with properties calculated at the PBE-GGA level.

Cell: 3.760 12.215 3.762 Å, 90.00 90.00 90.00°
Fractional coordinates of all 8 atoms:
Sn: 0.000 0.087 0.000
Sn: 0.000 0.645 0.911
Sn: 0.500 0.355 0.411
Sn: 0.500 0.913 0.500
Ir: 0.000 0.862 0.998
Ir: 0.500 0.138 0.498
S: 0.000 0.421 0.946
S: 0.500 0.579 0.446

Its space-group type is Pmn2_1. For the total energy, the calculation gives -43.2 eV for the cell shown. Its crystal system is orthorhombic.



# 18
Below is Sn2IrS after structural relaxation, with properties calculated at the PBE-GGA level.

Cell: 3.914 3.870 11.061 Å, 90.00 90.00 90.00°
Fractional coordinates of all 8 atoms:
Sn: 0.000 0.001 0.000
Sn: 0.000 0.999 0.500
Sn: 0.500 0.496 0.249
Sn: 0.500 0.504 0.749
Ir: 0.500 0.499 0.499
Ir: 0.500 0.501 0.999
S: 0.000 0.000 0.250
S: 0.000 0.000 0.750

Its space-group type is Pmc2_1. For the total energy, the calculation gives -43.0 eV for the cell shown. Its crystal system is orthorhombic.



# 19
Below is TaIr3S after structural relaxation, with properties calculated at the PBE-GGA level.

Cell: 4.396 4.396 4.396 Å, 90.00 90.00 90.00°
Fractional coordinates of all 5 atoms:
Ta: 0.000 0.000 0.000
Ir: 0.000 0.500 0.500
Ir: 0.500 0.000 0.500
Ir: 0.500 0.500 0.000
S: 0.500 0.500 0.500

Its space-group type is Pm-3m. For the total energy, the calculation gives -38.6 eV for the cell shown. Its crystal system is cubic.



# 20
Below is Te4Ir3S2 after structural relaxation, with properties calculated at the PBE-GGA level.

Cell: 9.884 9.884 5.216 Å, 94.44 94.44 22.86°
Fractional coordinates of all 9 atoms:
Te: 0.047 0.047 0.224
Te: 0.279 0.279 0.757
Te: 0.721 0.721 0.243
Te: 0.953 0.953 0.776
Ir: 0.158 0.158 0.975
Ir: 0.500 0.500 0.500
Ir: 0.842 0.842 0.025
S: 0.383 0.383 0.283
S: 0.617 0.617 0.717

Its space-group type is C2/m. For the total energy, the calculation gives -50.0 eV for the cell shown. Its crystal system is monoclinic.



# 21
Below is Tm7Ir2S2 after structural relaxation, with properties calculated at the PBE-GGA level.

Cell: 8.811 8.811 8.811 Å, 154.90 67.23 118.78°
Fractional coordinates of all 11 atoms:
Tm: 0.000 0.000 0.000
Tm: 0.293 0.413 0.880
Tm: 0.307 0.626 0.681
Tm: 0.532 0.413 0.120
Tm: 0.615 0.252 0.363
Tm: 0.889 0.252 0.637
Tm: 0.946 0.626 0.319
Ir: 0.167 0.927 0.240
Ir: 0.687 0.927 0.760
S: 0.254 0.754 0.500
S: 0.660 0.660 0.000

Its space-group type is Imm2. For the total energy, the calculation gives -69.5 eV for the cell shown. Its crystal system is orthorhombic.



# 22
Below is Y7Ir2S2 after structural relaxation, with properties calculated at the PBE-GGA level.

Cell: 8.970 8.970 8.970 Å, 154.92 67.17 118.84°
Fractional coordinates of all 11 atoms:
Y: 0.000 0.000 0.000
Y: 0.292 0.411 0.881
Y: 0.304 0.623 0.680
Y: 0.529 0.411 0.119
Y: 0.613 0.250 0.363
Y: 0.887 0.250 0.637
Y: 0.943 0.623 0.320
Ir: 0.164 0.924 0.240
Ir: 0.684 0.924 0.760
S: 0.252 0.752 0.500
S: 0.659 0.659 0.000

Its space-group type is Imm2. For the total energy, the calculation gives -83.0 eV for the cell shown. Its crystal system is orthorhombic.



# 23
Below is Zr3IrS after structural relaxation, with properties calculated at the PBE-GGA level.

Cell: 6.229 6.229 9.430 Å, 90.00 90.00 147.01°
Fractional coordinates of all 10 atoms:
Zr: 0.074 0.926 0.750
Zr: 0.350 0.650 0.571
Zr: 0.350 0.650 0.929
Zr: 0.650 0.350 0.071
Zr: 0.650 0.350 0.429
Zr: 0.926 0.074 0.250
Ir: 0.254 0.746 0.250
Ir: 0.746 0.254 0.750
S: 0.000 0.000 0.000
S: 0.000 0.000 0.500

Its space-group type is Cmcm. For the total energy, the calculation gives -87.7 eV for the cell shown. Its crystal system is orthorhombic.



# 24
Below is SbIr15 after structural relaxation, with properties calculated at the PBE-GGA level.

Cell: 5.443 3.863 32.972 Å, 90.00 90.16 90.00°
Fractional coordinates of all 32 atoms:
Sb: 0.111 0.250 0.318
Sb: 0.889 0.750 0.682
Ir: 0.120 0.250 0.729
Ir: 0.123 0.250 0.814
Ir: 0.124 0.250 0.896
Ir: 0.125 0.250 0.979
Ir: 0.126 0.250 0.062
Ir: 0.128 0.250 0.145
Ir: 0.128 0.250 0.228
Ir: 0.372 0.750 0.773
Ir: 0.373 0.750 0.855
Ir: 0.374 0.750 0.938
Ir: 0.375 0.750 0.021
Ir: 0.377 0.750 0.103
Ir: 0.377 0.750 0.186
Ir: 0.389 0.750 0.268
Ir: 0.390 0.750 0.692
Ir: 0.610 0.250 0.308
Ir: 0.611 0.250 0.732
Ir: 0.623 0.250 0.814
Ir: 0.623 0.250 0.897
Ir: 0.625 0.250 0.979
Ir: 0.626 0.250 0.062
Ir: 0.627 0.250 0.145
Ir: 0.628 0.250 0.227
Ir: 0.872 0.750 0.772
Ir: 0.872 0.750 0.855
Ir: 0.874 0.750 0.938
Ir: 0.875 0.750 0.021
Ir: 0.876 0.750 0.104
Ir: 0.877 0.750 0.186
Ir: 0.880 0.750 0.271

Its space-group type is P2_1/m. For the total energy, the calculation gives -270.4 eV for the cell shown. Its crystal system is monoclinic.